[1]
Compound: TeHF2
Source: Alexandria
Functional: GGA-PBE
Structure: optimized geometry

Lattice parameters (Å, degrees): 5.0256 5.0256 5.0236 59.99 59.99 90.00
Fractional coordinates of all 8 atoms:
1 H 0.5000 0.5000 0.0000
2 H 0.2500 0.7500 0.5000
3 Te 0.0000 0.0000 0.0000
4 Te 0.7500 0.2500 0.5000
5 F 0.3752 0.1250 0.2500
6 F 0.3748 0.6250 0.2500
7 F 0.3750 0.6248 0.7500
8 F 0.8750 0.6252 0.7500

Summary:
For the energy above the most stable polymorph in this dataset, the calculation gives 0.2912 eV/atom. The density of states at the Fermi level is 0.60 states/eV per cell. For the magnetic moment, the calculation gives 0.0 Bohr magnetons per cell. For the density, the calculation gives 6.17 g cm⁻³. Its crystal system is cubic.

---

[2]
Compound: MgBe2Pt
Source: Alexandria
Functional: GGA-PBE
Structure: optimized geometry

Lattice parameters (Å, degrees): 4.7703 4.7703 2.7114 77.54 77.54 114.51
Fractional coordinates of all 4 atoms:
1 Be 0.0000 0.0000 0.0000
2 Be 0.5000 0.5000 0.0000
3 Mg 0.5000 0.0000 0.5000
4 Pt 0.0000 0.5000 0.5000

Summary:
The density of states at the Fermi level is 1.45 states/eV per cell. Its formation energy is -0.106 eV per atom. For the magnetic moment, the calculation gives 0.0 Bohr magnetons per cell. For the density, the calculation gives 7.66 g cm⁻³. Its crystal system is monoclinic.

---

[3]
Compound: InTe2H
Source: Alexandria
Functional: GGA-PBE
Structure: optimized geometry

Lattice parameters (Å, degrees): 7.5781 7.5781 7.5781 34.06 34.06 34.06
Fractional coordinates of all 4 atoms:
1 H 0.0000 0.0000 0.0000
2 Te 0.0923 0.0923 0.0923
3 Te 0.9077 0.9077 0.9077
4 In 0.5000 0.5000 0.5000

Summary:
For the energy above the most stable polymorph in this dataset, the calculation gives 0.1064 eV/atom. The density of states at the Fermi level is 0.17 states/eV per cell. For the magnetic moment, the calculation gives 0.0 Bohr magnetons per cell. For the density, the calculation gives 5.06 g cm⁻³. Its crystal system is trigonal.

---

[4]
Compound: TbEr3Zn
Source: Alexandria
Functional: GGA-PBE
Structure: optimized geometry

Lattice parameters (Å, degrees): 7.0758 7.0758 7.6644 100.69 117.55 107.34
Fractional coordinates of all 10 atoms:
1 Tb 0.6913 0.0821 0.7735
2 Tb 0.3087 0.9179 0.2265
3 Er 0.8254 0.9882 0.2156
4 Er 0.2275 0.3902 0.2156
5 Er 0.7725 0.6098 0.7844
6 Er 0.7370 0.4516 0.1887
7 Er 0.1746 0.0118 0.7844
8 Er 0.2630 0.5484 0.8113
9 Zn 0.6670 0.7666 0.4336
10 Zn 0.3330 0.2334 0.5664

Summary:
The density of states at the Fermi level is 14.60 states/eV per cell. Its formation energy is 0.058 eV per atom. For the magnetic moment, the calculation gives 0.0 Bohr magnetons per cell. For the density, the calculation gives 8.04 g cm⁻³. Its crystal system is monoclinic.

---

[5]
Compound: NaMgGeS3
Source: Alexandria
Functional: GGA-PBE
Structure: optimized geometry

Lattice parameters (Å, degrees): 4.2862 7.4514 9.5078 110.93 90.00 90.00
Fractional coordinates of all 12 atoms:
1 Na 0.2500 0.2215 0.1898
2 Na 0.7500 0.7785 0.8102
3 Mg 0.2500 0.6558 0.1144
4 Mg 0.7500 0.3442 0.8856
5 Ge 0.2500 0.1491 0.6342
6 Ge 0.7500 0.8509 0.3658
7 S 0.7500 0.9302 0.1577
8 S 0.2500 0.0698 0.8423
9 S 0.2500 0.7931 0.4381
10 S 0.7500 0.2069 0.5619
11 S 0.7500 0.4742 0.1635
12 S 0.2500 0.5258 0.8365

Summary:
Its formation energy without anion corrections is -0.770 eV per atom. The density of states at the Fermi level is 2.49 states/eV per cell. For the magnetic moment, the calculation gives 0.0 Bohr magnetons per cell. For the density, the calculation gives 2.53 g cm⁻³. Its crystal system is monoclinic.

---

[6]
Compound: CoBi2Pd
Source: Alexandria
Functional: GGA-PBE
Structure: optimized geometry

Lattice parameters (Å, degrees): 6.7004 6.7004 6.5595 59.29 59.29 90.00
Fractional coordinates of all 8 atoms:
1 Co 0.5000 0.5000 0.0000
2 Co 0.2500 0.7500 0.5000
3 Bi 0.6016 0.1250 0.2500
4 Bi 0.1484 0.6250 0.2500
5 Bi 0.3750 0.3984 0.7500
6 Bi 0.8750 0.8516 0.7500
7 Pd 0.0000 0.0000 0.0000
8 Pd 0.7500 0.2500 0.5000

Summary:
For the energy above the most stable polymorph in this dataset, the calculation gives 0.1739 eV/atom. The density of states at the Fermi level is 5.30 states/eV per cell. Its formation energy is 0.371 eV per atom. For the magnetic moment, the calculation gives 0.0 Bohr magnetons per cell. For the density, the calculation gives 9.51 g cm⁻³. Its crystal system is tetragonal.

---

[7]
Compound: Th2SnPRh6
Source: Alexandria
Functional: GGA-PBE
Structure: optimized geometry

Lattice parameters (Å, degrees): 5.7476 7.9005 8.7111 90.00 90.00 90.00
Fractional coordinates of all 20 atoms:
1 Th 0.5000 0.7453 0.2529
2 Th 0.0000 0.2547 0.7529
3 Th 0.5000 0.7453 0.7471
4 Th 0.0000 0.2547 0.2471
5 Sn 0.0000 0.7005 0.5000
6 Sn 0.5000 0.2995 0.0000
7 P 0.5000 0.2125 0.5000
8 P 0.0000 0.7875 0.0000
9 Rh 0.5000 0.1099 0.2523
10 Rh 0.5000 0.1099 0.7477
11 Rh 0.0000 0.8901 0.2477
12 Rh 0.0000 0.8901 0.7523
13 Rh 0.2441 0.9917 0.5000
14 Rh 0.7559 0.9917 0.5000
15 Rh 0.2437 0.4242 0.5000
16 Rh 0.7563 0.4242 0.5000
17 Rh 0.7437 0.5758 0.0000
18 Rh 0.2563 0.5758 0.0000
19 Rh 0.2559 0.0083 0.0000
20 Rh 0.7441 0.0083 0.0000

Summary:
The density of states at the Fermi level is 7.98 states/eV per cell. Its formation energy is -0.759 eV per atom. For the magnetic moment, the calculation gives 0.0 Bohr magnetons per cell. For the density, the calculation gives 10.34 g cm⁻³. Its crystal system is orthorhombic.

---

[8]
Compound: Rb3ScNi
Source: Alexandria
Functional: GGA-PBE
Structure: optimized geometry

Lattice parameters (Å, degrees): 6.4645 6.4645 6.4645 90.00 90.00 90.00
Fractional coordinates of all 5 atoms:
1 Sc 0.5000 0.5000 0.5000
2 Ni 0.0000 0.0000 0.0000
3 Rb 0.0000 0.5000 0.0000
4 Rb 0.0000 0.0000 0.5000
5 Rb 0.5000 0.0000 0.0000

Summary:
For the energy above the most stable polymorph in this dataset, the calculation gives 0.0000 eV/atom. The density of states at the Fermi level is 11.05 states/eV per cell. Its formation energy is 0.983 eV per atom. For the magnetic moment, the calculation gives 2.0 Bohr magnetons per cell. For the density, the calculation gives 2.21 g cm⁻³. Its crystal system is cubic.

---

[9]
Compound: KHfCl3
Source: Alexandria
Functional: GGA-PBE
Structure: optimized geometry

Lattice parameters (Å, degrees): 5.4388 5.4388 5.4388 90.00 90.00 90.00
Fractional coordinates of all 5 atoms:
1 K 0.0000 0.0000 0.0000
2 Hf 0.5000 0.5000 0.5000
3 Cl 0.0000 0.5000 0.0000
4 Cl 0.0000 0.0000 0.5000
5 Cl 0.5000 0.0000 0.0000

Summary:
Its formation energy without anion corrections is -0.018 eV per atom. The density of states at the Fermi level is 5.94 states/eV per cell. For the magnetic moment, the calculation gives 2.0 Bohr magnetons per cell. For the density, the calculation gives 3.34 g cm⁻³. Its crystal system is cubic.

---

[10]
Compound: V4Tc5Ge
Source: Alexandria
Functional: GGA-PBE
Structure: optimized geometry

Lattice parameters (Å, degrees): 3.0393 3.0393 15.0710 90.00 90.00 90.00
Fractional coordinates of all 10 atoms:
1 V 0.0000 0.0000 0.1988
2 V 0.0000 0.0000 0.3991
3 V 0.0000 0.0000 0.6009
4 V 0.0000 0.0000 0.8012
5 Tc 0.5000 0.5000 0.1015
6 Tc 0.5000 0.5000 0.3002
7 Tc 0.5000 0.5000 0.5000
8 Tc 0.5000 0.5000 0.6998
9 Tc 0.5000 0.5000 0.8985
10 Ge 0.0000 0.0000 0.0000

Summary:
The density of states at the Fermi level is 5.09 states/eV per cell. Its formation energy is -0.321 eV per atom. For the magnetic moment, the calculation gives 0.0 Bohr magnetons per cell. For the density, the calculation gives 9.14 g cm⁻³. Its crystal system is tetragonal.

---

[11]
Compound: GePt2N
Source: Alexandria
Functional: GGA-PBE
Structure: optimized geometry

Lattice parameters (Å, degrees): 4.2457 4.2457 4.2457 60.00 60.00 60.00
Fractional coordinates of all 4 atoms:
1 Ge 0.5000 0.5000 0.5000
2 Pt 0.2500 0.2500 0.2500
3 Pt 0.7500 0.7500 0.7500
4 N 0.0000 0.0000 0.0000

Summary:
For the energy above the most stable polymorph in this dataset, the calculation gives 0.5296 eV/atom. Its formation energy without anion corrections is 0.785 eV per atom. The density of states at the Fermi level is 3.53 states/eV per cell. For the magnetic moment, the calculation gives 0.0 Bohr magnetons per cell. For the density, the calculation gives 14.63 g cm⁻³. Its crystal system is cubic.

---

[12]
Compound: BaCaGa2Cu2
Source: Alexandria
Functional: GGA-PBE
Structure: optimized geometry

Lattice parameters (Å, degrees): 4.5014 4.5014 8.0976 90.00 90.00 120.00
Fractional coordinates of all 6 atoms:
1 Ba 0.0000 0.0000 0.0000
2 Ca 0.0000 0.0000 0.5000
3 Ga 0.6667 0.3333 0.6991
4 Ga 0.3333 0.6667 0.3009
5 Cu 0.6667 0.3333 0.3067
6 Cu 0.3333 0.6667 0.6933

Summary:
The density of states at the Fermi level is 5.05 states/eV per cell. Its formation energy is -0.276 eV per atom. For the magnetic moment, the calculation gives 0.0 Bohr magnetons per cell. For the density, the calculation gives 5.19 g cm⁻³. Its crystal system is trigonal.

---

Which calculated total energy belongs to each record? In order, -13.4 -15.5 -12.4 -19.3 -24.5 -18.6 -75.9 -10.1 -16.7 -96.1 -21.9 -19.8 eV/f.u..